Record 1
# SrCuP2

Crystalline SrCuP2 at its relaxed geometry (GGA-PBE, Alexandria).

Cell lengths 4.5614, 4.5614, 17.1430 Å; angles 90.00, 90.00, 90.00 degrees
Fractional positions:
1 Sr 0.1308 0.7982 0.0000
2 Sr 0.2018 0.1308 0.2500
3 Sr 0.7982 0.8692 0.7500
4 Sr 0.8692 0.2018 0.5000
5 Cu 0.3234 0.6017 0.6105
6 Cu 0.3983 0.3234 0.8605
7 Cu 0.6017 0.6766 0.3605
8 Cu 0.6766 0.3983 0.1105
9 P 0.0984 0.6477 0.3783
10 P 0.2453 0.3718 0.7318
11 P 0.3523 0.0984 0.6283
12 P 0.3718 0.7547 0.4818
13 P 0.6282 0.2453 0.9818
14 P 0.6477 0.9016 0.1283
15 P 0.7547 0.6282 0.2318
16 P 0.9016 0.3523 0.8783

Results
- Energy of formation: -2.084 eV/f.u.
- V: 22.29 A^3/atom

---

Record 2
# SrCu4P2

Crystalline SrCu4P2 at its relaxed geometry (GGA-PBE, Alexandria).

Cell lengths 7.4919, 7.4919, 3.8215 Å; angles 90.00, 90.00, 90.00 degrees
Fractional positions:
1 Sr 0.0000 0.0000 0.0000
2 Sr 0.5000 0.5000 0.5000
3 Cu 0.0832 0.3389 0.5000
4 Cu 0.1611 0.5832 0.0000
5 Cu 0.3389 0.0832 0.5000
6 Cu 0.4168 0.8389 0.0000
7 Cu 0.5832 0.1611 0.0000
8 Cu 0.6611 0.9168 0.5000
9 Cu 0.8389 0.4168 0.0000
10 Cu 0.9168 0.6611 0.5000
11 P 0.2209 0.7791 0.5000
12 P 0.2791 0.2791 0.0000
13 P 0.7209 0.7209 0.0000
14 P 0.7791 0.2209 0.5000

Results
- Energy of formation: -2.733 eV/f.u.
- V: 15.32 A^3/atom

---

Record 3
# SrCu4P3

Crystalline SrCu4P3 at its relaxed geometry (GGA-PBE, Alexandria).

Cell lengths 4.0878, 4.0878, 7.4793 Å; angles 90.00, 90.00, 90.00 degrees
Fractional positions:
1 Sr 0.0000 0.0000 0.0000
2 Cu 0.0000 0.5000 0.3268
3 Cu 0.0000 0.5000 0.6732
4 Cu 0.5000 0.0000 0.3268
5 Cu 0.5000 0.0000 0.6732
6 P 0.0000 0.0000 0.5000
7 P 0.5000 0.5000 0.1540
8 P 0.5000 0.5000 0.8460

Results
- Energy of formation: -3.067 eV/f.u.
- V: 15.62 A^3/atom

---

Record 4
# SrCu7P3

Crystalline SrCu7P3 at its relaxed geometry (GGA-PBE, Alexandria).

Cell lengths 7.9165, 7.9165, 7.9165 Å; angles 56.47, 56.47, 56.47 degrees
Fractional positions:
1 Sr 0.0000 0.0000 0.0000
2 Sr 0.5000 0.5000 0.5000
3 Cu 0.0670 0.8523 0.6611
4 Cu 0.1477 0.3389 0.9330
5 Cu 0.1611 0.3523 0.5670
6 Cu 0.2500 0.2500 0.2500
7 Cu 0.3389 0.9330 0.1477
8 Cu 0.3523 0.5670 0.1611
9 Cu 0.4330 0.8389 0.6477
10 Cu 0.5669 0.1611 0.3523
11 Cu 0.6477 0.4330 0.8389
12 Cu 0.6611 0.0670 0.8523
13 Cu 0.7500 0.7500 0.7500
14 Cu 0.8389 0.6477 0.4330
15 Cu 0.8523 0.6611 0.0670
16 Cu 0.9330 0.1477 0.3389
17 P 0.0810 0.7500 0.4190
18 P 0.2500 0.5810 0.9190
19 P 0.4190 0.0810 0.7500
20 P 0.5810 0.9190 0.2500
21 P 0.7500 0.4190 0.0810
22 P 0.9190 0.2500 0.5810

Results
- Energy of formation: -2.081 eV/f.u.
- V: 14.64 A^3/atom